Density functional theory data (PBE) for a relaxed Sc2Ga3Mo4N3 crystal.

POSCAR file:
```
Sc2Ga3Mo4N3
1.0
4.6962 -2.7292 0.0000
4.6962 2.7292 0.0000
-3.1394 0.0000 13.0385
Sc Ga Mo N
4 6 8 6
Cartesian
2.3339 2.2761 7.8757
2.3496 2.2761 11.6819
3.9035 -2.2761 1.3565
3.9193 -2.2761 5.1627
-0.3360 0.7199 9.7636
1.2337 -0.7199 3.2443
3.9114 0.0910 3.2596
2.3417 -0.0910 9.7788
5.0194 0.7199 9.7941
6.5891 -0.7199 3.2749
2.4196 0.4815 1.0238
2.3171 0.3806 5.4974
0.8499 -0.4815 7.5431
0.7474 -0.3806 12.0166
5.5057 0.3806 1.0218
5.4032 0.4815 5.4954
3.9361 -0.3806 7.5410
3.8335 -0.4815 12.0146
0.7784 1.3646 6.5192
3.9846 1.4793 0.0000
3.8382 1.4793 6.5192
2.3481 -1.3646 0.0000
2.4149 -1.4793 6.5192
5.4079 -1.4793 0.0000
```

Values from the calculation:
Calculated total energy = -8.1330 eV per atom